Compound: LuGaPt
Source: OQMD via LeMat-Bulk
Functional: PBE
Structure: optimized geometry

```
12
Lattice="6.7505 0.0000 0.0000 0.0000 4.3679 0.0000 0.0000 0.0000 7.7117" Properties=species:S:1:pos:R:3 pbc="T T T"
Lu 0.1491 1.0920 1.4698
Lu 3.2261 3.2760 5.3256
Lu 3.5243 1.0920 2.3861
Lu 6.6014 3.2760 6.2419
Ga 1.0873 1.0920 4.3699
Ga 2.2879 3.2760 0.5141
Ga 4.4626 1.0920 7.1976
Ga 5.6631 3.2760 3.3417
Pt 1.5790 3.2760 3.0012
Pt 1.7962 1.0920 6.8570
Pt 4.9543 3.2760 0.8547
Pt 5.1714 1.0920 4.7105
```

Properties
- symmetry = No. 62

Compound: Cu4Bi5PbS11
Source: OQMD via LeMat-Bulk
Functional: PBE
Structure: optimized geometry

```
42
Lattice="8.9187 -1.9589 0.0000 8.9187 1.9589 0.0000 -1.1192 0.0000 27.2932" Properties=species:S:1:pos:R:3 pbc="T T T"
Cu -0.1453 0.0000 7.3633
Cu 1.2974 0.0000 25.2018
Cu 3.2316 0.0000 7.7174
Cu 4.7208 0.0000 12.9942
Cu 11.9975 0.0000 14.2990
Cu 13.4867 0.0000 19.5757
Cu 15.4208 0.0000 2.0913
Cu 16.8636 0.0000 19.9298
Bi 1.5195 0.0000 17.6687
Bi 3.2255 0.0000 1.4624
Bi 5.6727 0.0000 5.6226
Bi 5.9622 0.0000 16.4007
Bi 6.9710 0.0000 23.0427
Bi 9.7473 0.0000 4.2504
Bi 10.7561 0.0000 10.8924
Bi 11.0455 0.0000 21.6706
Bi 13.4928 0.0000 25.8307
Bi 15.1987 0.0000 9.6244
Pb -0.5596 0.0000 13.6466
Pb 8.9187 0.0000 0.0000
S 0.6012 0.0000 2.0329
S 0.7712 0.0000 23.0182
S 1.4016 0.0000 9.1029
S 1.6695 0.0000 5.8908
S 2.3260 0.0000 13.2833
S 3.3372 0.0000 19.6911
S 4.7688 0.0000 10.7074
S 4.3867 0.0000 23.9437
S 6.1309 0.0000 0.9104
S 7.5448 0.0000 7.4585
S 8.2356 0.0000 11.4720
S 8.4826 0.0000 15.8212
S 9.1734 0.0000 19.8347
S 10.5873 0.0000 26.3828
S 12.3315 0.0000 3.3494
S 11.9494 0.0000 16.5857
S 13.3810 0.0000 7.6020
S 14.3923 0.0000 14.0098
S 15.0487 0.0000 21.4024
S 15.3167 0.0000 18.1903
S 15.9471 0.0000 4.2749
S 16.1170 0.0000 25.2603
```

Properties
- symmetry = No. 12

Number 1: total DFT energy (no corrections) -5.654 eV/atom. Number 2: total DFT energy (no corrections) -4.302 eV/atom.